VASP calculation (PBE) on a geometry-optimized Y3ZrFe structure.

Output
Space group: Pm-3m (221)

Unit cell a=5.1906 b=5.1906 c=5.1906 alpha=90.00 beta=90.00 gamma=90.00
Last column: nearest neighbours and their distance in Å.
Fractional coordinates of all 5 atoms:
Y 0.0000 0.5000 0.0000  2 Fe 2.60
Y 0.0000 0.0000 0.5000  2 Fe 2.60
Y 0.5000 0.0000 0.0000  2 Fe 2.60
Fe 0.0000 0.0000 0.0000  6 Y 2.60
Zr 0.5000 0.5000 0.5000  12 Y 3.67


VASP calculation (PBE) on a geometry-optimized YZrFe structure.

Output
Space group: F-43m (216)

Unit cell a=4.5363 b=4.5363 c=4.5363 alpha=60.00 beta=60.00 gamma=60.00
Last column: nearest neighbours and their distance in Å.
Fractional coordinates of all 3 atoms:
Fe 0.7500 0.7500 0.7500  4 Zr 2.78, 4 Y 2.78
Y 0.0000 0.0000 0.0000  4 Fe 2.78
Zr 0.5000 0.5000 0.5000  4 Fe 2.78


Number 1: relative energy among the computed polymorphs 0.00 eV/f.u., ΔE_f 0.346 eV/atom. Number 2: relative energy among the computed polymorphs 0.52 eV/f.u., ΔE_f 0.211 eV/atom.